(1)
## Y2Al (GGA-PBEsol)

Data for a relaxed Y2Al crystal.

Summary:
The energy of formation is -0.80 eV/f.u. For the total energy, the calculation gives -74.16 eV per cell.

Unit cell a=13.8457 b=3.4736 c=6.9505 alpha=90.00 beta=104.53 gamma=90.00
Fractional positions:
Y1 0.1384 0.0000 0.0664
Y2 0.1555 0.0000 0.5851
Y3 0.3445 0.5000 0.4149
Y4 0.3616 0.5000 0.9336
Y5 0.6384 0.5000 0.0664
Y6 0.6555 0.5000 0.5851
Y7 0.8445 0.0000 0.4149
Y8 0.8616 0.0000 0.9336
Al1 0.0025 0.5000 0.2796
Al2 0.4975 0.0000 0.7204
Al3 0.5025 0.0000 0.2796
Al4 0.9975 0.5000 0.7204

(2)
## Be2SeCl (GGA-PBEsol)

Data for a relaxed Be2SeCl crystal.

Summary:
The calculation puts the raw formation energy at -220 meV/atom. For the energy relative to the lowest polymorph listed for this composition, the calculation gives 98 meV/atom. For the total energy, the calculation gives -58.95 eV per cell.

Unit cell a=5.0807 b=5.0807 c=10.2772 alpha=90.00 beta=90.00 gamma=90.00
Fractional positions:
Be1 0.2338 0.2500 0.1250
Be2 0.2500 0.7338 0.3750
Be3 0.2500 0.7662 0.8750
Be4 0.2662 0.2500 0.6250
Be5 0.7338 0.7500 0.6250
Be6 0.7500 0.2338 0.8750
Be7 0.7500 0.2662 0.3750
Be8 0.7662 0.7500 0.1250
Se1 0.0000 0.0000 0.0000
Se2 0.0000 0.5000 0.2500
Se3 0.5000 0.0000 0.7500
Se4 0.5000 0.5000 0.5000
Cl1 0.0000 0.0000 0.5000
Cl2 0.0000 0.5000 0.7500
Cl3 0.5000 0.0000 0.2500
Cl4 0.5000 0.5000 0.0000

Please write out number 1 again, unchanged.
## Y2Al (GGA-PBEsol)

Data for a relaxed Y2Al crystal.

Summary:
The energy of formation is -0.80 eV/f.u. For the total energy, the calculation gives -74.16 eV per cell.

Unit cell a=13.8457 b=3.4736 c=6.9505 alpha=90.00 beta=104.53 gamma=90.00
Fractional positions:
Y1 0.1384 0.0000 0.0664
Y2 0.1555 0.0000 0.5851
Y3 0.3445 0.5000 0.4149
Y4 0.3616 0.5000 0.9336
Y5 0.6384 0.5000 0.0664
Y6 0.6555 0.5000 0.5851
Y7 0.8445 0.0000 0.4149
Y8 0.8616 0.0000 0.9336
Al1 0.0025 0.5000 0.2796
Al2 0.4975 0.0000 0.7204
Al3 0.5025 0.0000 0.2796
Al4 0.9975 0.5000 0.7204

Repeat the second record exactly.
## Be2SeCl (GGA-PBEsol)

Data for a relaxed Be2SeCl crystal.

Summary:
The calculation puts the raw formation energy at -220 meV/atom. For the energy relative to the lowest polymorph listed for this composition, the calculation gives 98 meV/atom. For the total energy, the calculation gives -58.95 eV per cell.

Unit cell a=5.0807 b=5.0807 c=10.2772 alpha=90.00 beta=90.00 gamma=90.00
Fractional positions:
Be1 0.2338 0.2500 0.1250
Be2 0.2500 0.7338 0.3750
Be3 0.2500 0.7662 0.8750
Be4 0.2662 0.2500 0.6250
Be5 0.7338 0.7500 0.6250
Be6 0.7500 0.2338 0.8750
Be7 0.7500 0.2662 0.3750
Be8 0.7662 0.7500 0.1250
Se1 0.0000 0.0000 0.0000
Se2 0.0000 0.5000 0.2500
Se3 0.5000 0.0000 0.7500
Se4 0.5000 0.5000 0.5000
Cl1 0.0000 0.0000 0.5000
Cl2 0.0000 0.5000 0.7500
Cl3 0.5000 0.0000 0.2500
Cl4 0.5000 0.5000 0.0000